1.
Ba2AlZn3In4 | PBE-GGA | optimized geometry

Output
Its formation energy is -0.30 eV/atom. As for the space group: No. 115.

Structure (POSCAR):
```
Ba2AlZn3In4
1.0
4.739 0.000 0.000
0.000 4.739 0.000
0.000 0.000 11.738
Ba Al Zn In
2 1 3 4
Cartesian
0.000 2.370 2.879
2.370 0.000 8.860
2.370 2.370 0.000
0.000 0.000 0.000
0.000 2.370 7.473
2.370 0.000 4.265
0.000 0.000 5.869
0.000 2.370 10.210
2.370 0.000 1.528
2.370 2.370 5.869
```

2.
Li3Si2Ge | PBE-GGA | optimized geometry

Output
As for the space group: No. 14. For the uncorrected formation energy, the calculation gives -86 meV/atom.

Structure (POSCAR):
```
Li3Si2Ge
1.0
7.162 0.000 0.000
0.000 7.331 0.000
-0.789 0.000 7.708
Li Si Ge
12 8 4
Cartesian
0.832 0.286 3.032
0.438 3.380 6.886
2.028 5.247 1.195
1.633 5.749 5.050
2.376 0.620 0.544
1.981 3.046 4.398
4.391 4.285 3.310
3.996 6.711 7.165
4.739 1.581 2.659
4.344 2.084 6.513
5.935 3.951 0.822
5.540 7.045 4.677
0.069 4.532 3.154
-0.325 6.464 7.008
3.050 0.637 4.829
3.445 3.028 0.975
2.928 4.303 6.734
3.322 6.694 2.880
6.698 0.867 0.700
6.303 2.798 4.555
0.713 0.976 5.652
1.107 2.689 1.798
5.265 4.642 5.911
5.660 6.355 2.056
```

3.
NdDy12Tm7 | PBE-GGA | optimized geometry

Output
Its formation energy is 0.24 eV/atom. As for the space group: No. 148.

Structure (POSCAR):
```
NdDy12Tm7
1.0
5.951 3.436 5.282
-5.951 3.436 5.282
0.000 -6.872 5.282
Nd Dy Tm
1 12 7
Cartesian
0.000 0.000 0.000
-1.945 -0.541 4.645
-0.718 -3.218 7.093
-3.146 -0.987 8.753
1.441 -1.414 4.645
-2.427 2.231 7.093
0.504 1.955 4.645
-0.504 -1.955 11.201
2.427 -2.231 8.753
-1.441 1.414 11.201
3.146 0.987 7.093
0.718 3.218 8.753
1.945 0.541 11.201
-5.204 0.491 6.598
-3.027 -4.262 9.247
2.177 -4.752 6.598
0.000 0.000 7.923
-2.177 4.752 9.247
3.027 4.262 6.598
5.204 -0.491 9.247
```

4.
SiHg2Ru | PBE-GGA | optimized geometry

Output
As for the space group: No. 71. For the uncorrected formation energy, the calculation gives 18 meV/atom.

Structure (POSCAR):
```
SiHg2Ru
1.0
-1.417 1.954 7.138
1.417 -1.954 7.138
1.417 1.954 -7.138
Si Hg Ru
1 2 1
Cartesian
0.000 0.000 0.000
1.417 0.000 4.587
0.000 1.954 2.551
0.000 0.000 7.138
```